No. 1
A relaxed structure of Ta6CrRu3, computed with PBE-GGA.

Geometry as POSCAR:
```
Ta6CrRu3
1.0
-1.600 3.930 -1.495
0.139 -2.727 -7.315
-8.638 -2.228 3.391
Ta Cr Ru
12 2 6
direct
0.250 0.452 0.101
0.750 0.548 0.899
0.250 0.151 0.199
0.750 0.849 0.801
0.250 0.652 0.696
0.750 0.348 0.304
0.250 0.240 0.500
0.750 0.760 0.500
0.250 0.856 0.308
0.750 0.144 0.692
0.250 0.051 0.895
0.750 0.949 0.105
0.250 0.952 0.599
0.750 0.048 0.401
0.250 0.552 0.401
0.750 0.448 0.599
0.250 0.353 0.799
0.750 0.647 0.201
0.250 0.743 0.003
0.750 0.257 0.997
```

Values from the calculation:
Theoretical density = 14.81 g cm⁻³
Energy relative to the elements = -285 meV/atom
Raw total energy = -222.83 eV per cell

---

No. 2
A relaxed structure of MgTaNb2V, computed with PBE-GGA.

Geometry as POSCAR:
```
MgTaNb2V
1.0
-4.869 0.621 0.474
-0.658 -4.603 -0.723
0.369 -0.814 4.850
Nb V Mg Ta
2 1 1 1
direct
0.000 0.000 0.500
0.500 0.000 0.000
0.000 0.500 0.000
0.500 0.500 0.500
0.000 0.000 0.000
```

Values from the calculation:
Theoretical density = 6.41 g cm⁻³
Energy relative to the elements = 1281 meV/atom
Raw total energy = -36.30 eV per cell

---

No. 3
A relaxed structure of In6GaHg, computed with PBE-GGA.

Geometry as POSCAR:
```
In6GaHg
1.0
-1.975 3.960 0.504
-2.502 -1.666 3.287
7.335 2.770 6.986
In Ga Hg
6 1 1
direct
0.500 0.500 0.000
0.500 0.500 0.500
0.500 0.000 0.257
0.500 0.000 0.743
0.000 0.500 0.257
0.000 0.500 0.743
0.000 0.000 0.500
0.000 0.000 0.000
```

Values from the calculation:
Theoretical density = 7.65 g cm⁻³
Energy relative to the elements = 23 meV/atom
Raw total energy = -19.57 eV per cell

---

No. 4
A relaxed structure of PmNdYEr3, computed with PBE-GGA.

Geometry as POSCAR:
```
PmNdYEr3
1.0
5.877 0.000 0.000
-2.938 5.633 0.000
0.000 0.000 11.763
Pm Nd Y Er
2 2 2 6
direct
0.503 0.007 0.750
0.497 0.993 0.250
0.000 0.000 0.500
0.000 0.000 0.000
0.826 0.653 0.750
0.174 0.347 0.250
0.672 0.344 0.497
0.328 0.656 0.503
0.328 0.656 0.997
0.672 0.344 0.003
0.171 0.341 0.750
0.829 0.659 0.250
```

Values from the calculation:
Theoretical density = 7.50 g cm⁻³
Energy relative to the elements = 114 meV/atom
Raw total energy = -57.98 eV per cell

---

No. 5
A relaxed structure of Y3Cd3Rh, computed with PBE-GGA.

Geometry as POSCAR:
```
Y3Cd3Rh
1.0
8.665 0.000 5.003
2.888 8.170 5.003
0.000 0.000 10.006
Y Cd Rh
12 12 4
direct
0.043 0.457 0.043
0.207 0.207 0.793
0.793 0.793 0.207
0.793 0.207 0.793
0.793 0.207 0.207
0.207 0.793 0.793
0.457 0.043 0.043
0.043 0.043 0.457
0.457 0.457 0.043
0.043 0.457 0.457
0.207 0.793 0.207
0.457 0.043 0.457
0.834 0.834 0.834
0.416 0.416 0.751
0.416 0.751 0.416
0.751 0.416 0.416
0.834 0.499 0.834
0.499 0.834 0.834
0.834 0.834 0.499
0.416 0.416 0.416
0.625 0.625 0.625
0.625 0.625 0.125
0.625 0.125 0.625
0.125 0.625 0.625
0.125 0.125 0.125
0.125 0.125 0.625
0.125 0.625 0.125
0.625 0.125 0.125
```

Values from the calculation:
Theoretical density = 6.63 g cm⁻³
Energy relative to the elements = -455 meV/atom
Raw total energy = -130.71 eV per cell

---

No. 6
A relaxed structure of LiPmHgPd, computed with PBE-GGA.

Geometry as POSCAR:
```
LiPmHgPd
1.0
-3.707 0.513 3.128
0.786 -0.388 4.798
-0.263 3.955 2.842
Li Hg Pd Pm
1 1 1 1
direct
0.000 0.000 0.000
0.250 0.250 0.250
0.500 0.500 0.500
0.750 0.750 0.750
```

Values from the calculation:
Theoretical density = 9.29 g cm⁻³
Energy relative to the elements = -454 meV/atom
Raw total energy = -13.97 eV per cell